{"formula": "LiTcSe2", "functional": "PBE", "state": "optimized geometry", "spacegroup": "P4mm, No. 99", "relative_energy_ev_per_atom": 0.150, "formation_energy_uncorrected_mev_per_atom": -328, "cell": [[3.328, 0.000, 0.000], [0.000, 3.328, 0.000], [0.000, 0.000, 6.589]], "species": ["Li", "Tc", "Se", "Se"], "frac_coords": [[0.000, 0.000, 0.000], [0.500, 0.500, 0.744], [0.000, 0.000, 0.586], [0.500, 0.500, 0.118]]}

{"formula": "LiTcSe", "functional": "PBE", "state": "optimized geometry", "spacegroup": "I4mm, No. 107", "relative_energy_ev_per_atom": 0.000, "formation_energy_uncorrected_mev_per_atom": -203, "cell": [[-1.587, 1.587, 4.229], [1.587, -1.587, 4.229], [1.587, 1.587, -4.229]], "species": ["Li", "Tc", "Se"], "frac_coords": [[0.000, 0.000, 0.000], [0.685, 0.685, 0.000], [0.326, 0.326, 0.000]]}

{"formula": "LiTcSe2", "functional": "PBE", "state": "optimized geometry", "spacegroup": "Imm2, No. 44", "relative_energy_ev_per_atom": 0.061, "formation_energy_uncorrected_mev_per_atom": -417, "cell": [[-1.606, 1.668, 6.521], [1.606, -1.668, 6.521], [1.606, 1.668, -6.521]], "species": ["Li", "Tc", "Se", "Se"], "frac_coords": [[0.000, 0.000, 0.000], [0.741, 0.241, 0.500], [0.333, 0.833, 0.500], [0.594, 0.594, 0.000]]}

{"formula": "LiTcSe2", "functional": "PBE", "state": "optimized geometry", "spacegroup": "R-3m, No. 166", "relative_energy_ev_per_atom": 0.512, "formation_energy_uncorrected_mev_per_atom": 35, "cell": [[1.526, 0.881, 8.599], [-1.526, 0.881, 8.599], [0.000, -1.762, 8.599]], "species": ["Li", "Tc", "Se", "Se"], "frac_coords": [[0.000, 0.000, 0.000], [0.500, 0.500, 0.500], [0.408, 0.408, 0.408], [0.592, 0.592, 0.592]]}

{"formula": "LiTcSe2", "functional": "PBE", "state": "optimized geometry", "spacegroup": "Fm-3m, No. 225", "relative_energy_ev_per_atom": 0.157, "formation_energy_uncorrected_mev_per_atom": -321, "cell": [[0.000, 3.142, 3.142], [3.142, 0.000, 3.142], [3.142, 3.142, 0.000]], "species": ["Li", "Tc", "Se", "Se"], "frac_coords": [[0.000, 0.000, 0.000], [0.500, 0.500, 0.500], [0.250, 0.250, 0.250], [0.750, 0.750, 0.750]]}

{"formula": "LiTcSe", "functional": "PBE", "state": "optimized geometry", "spacegroup": "F-43m, No. 216", "relative_energy_ev_per_atom": 0.398, "formation_energy_uncorrected_mev_per_atom": 195, "cell": [[0.000, 2.910, 2.910], [2.910, 0.000, 2.910], [2.910, 2.910, 0.000]], "species": ["Li", "Tc", "Se"], "frac_coords": [[0.000, 0.000, 0.000], [0.250, 0.250, 0.250], [0.500, 0.500, 0.500]]}

{"formula": "LiTcSe2", "functional": "PBE", "state": "optimized geometry", "spacegroup": "P2/m, No. 10", "relative_energy_ev_per_atom": 0.281, "formation_energy_uncorrected_mev_per_atom": -197, "cell": [[3.055, 0.000, 0.000], [0.000, 3.263, 0.000], [-0.013, 0.000, 7.321]], "species": ["Li", "Tc", "Se", "Se"], "frac_coords": [[0.000, 0.000, 0.000], [0.500, 0.000, 0.500], [0.499, 0.500, 0.244], [0.501, 0.500, 0.756]]}

{"formula": "LiTcSe2", "functional": "PBE", "state": "optimized geometry", "spacegroup": "F-43m, No. 216", "relative_energy_ev_per_atom": 0.980, "formation_energy_uncorrected_mev_per_atom": 502, "cell": [[0.000, 3.248, 3.248], [3.248, 0.000, 3.248], [3.248, 3.248, 0.000]], "species": ["Li", "Tc", "Se", "Se"], "frac_coords": [[0.000, 0.000, 0.000], [0.250, 0.250, 0.250], [0.500, 0.500, 0.500], [0.750, 0.750, 0.750]]}

> What is the formula in the sixth record?

LiTcSe